(1)
ScHg2Ge, optimized geometry, DFT PBE-GGA; formation energy from the elements = -0.266 eV per atom
1.0
4.184 0.000 0.000
0.000 4.184 0.000
0.000 0.000 4.797
Sc Hg Ge
1 2 1
direct
0.000 0.000 0.000
0.000 0.500 0.500
0.500 0.000 0.500
0.500 0.500 0.000

---

(2)
VTe3Rh, optimized geometry, DFT PBE-GGA; excess energy over the best structure of this formula in the dataset = 0 meV per atom; formation energy from raw total energies = 0.5995 eV per atom
1.0
5.199 0.000 0.000
0.000 5.199 0.000
0.000 0.000 5.199
V Te Rh
1 3 1
direct
0.000 0.000 0.000
0.000 0.500 0.500
0.500 0.000 0.500
0.500 0.500 0.000
0.500 0.500 0.500

---

(3)
KPdCl, optimized geometry, DFT PBE-GGA; excess energy over the best structure of this formula in the dataset = 43 meV per atom; formation energy from raw total energies = -0.7752 eV per atom
1.0
7.582 -2.419 0.000
7.582 2.419 0.000
-0.809 0.000 5.094
K Pd Cl
2 2 2
direct
0.000 0.000 0.000
0.741 0.741 0.542
0.340 0.340 0.158
0.396 0.396 0.705
0.197 0.197 0.932
0.489 0.489 0.375

---

(4)
NiPdSeN2, optimized geometry, DFT PBE-GGA; excess energy over the best structure of this formula in the dataset = 423 meV per atom; formation energy from raw total energies = 1.5759 eV per atom
1.0
3.736 0.000 0.000
0.000 3.736 0.000
0.000 0.000 6.057
Ni Pd Se N
1 1 1 2
direct
0.000 0.000 0.000
0.500 0.500 0.500
0.500 0.500 0.000
0.000 0.500 0.500
0.500 0.000 0.500